The following is a DFT calculation (PBEsol) of a geometry-optimized ZnCuPdBr2 structure.

Unit cell a=4.9377 b=4.9377 c=4.6024 alpha=90.00 beta=90.00 gamma=90.00
With the nearest neighbours (Å) after each atom.
Space group P4/mmm (No. 123)
Inequivalent atoms, fractional coordinates:
Zn 0.0000 0.0000 0.0000 x1  2 Cu 2.30, 4 Br 2.47
Cu 0.0000 0.0000 0.5000 x1  2 Zn 2.30
Pd 0.5000 0.5000 0.5000 x1  8 Br 3.38, 4 Cu 3.49
Br 0.0000 0.5000 0.0000 x2  2 Zn 2.47

For the total magnetic moment, the calculation gives 0.0013 μB per atom. The value obtained for the total energy is -2.474 eV/atom. For the formation energy without anion corrections, the calculation gives 0.65 eV per atom.